Record 1
VASP calculation (PBE-GGA) on a relaxed structure of Ta3MnH.

**E**: -9.3919 eV per atom

Cell: 4.115 4.115 4.115 Å, 90.00 90.00 90.00°
Fractional positions:
1 Ta 0.000 0.000 0.500
2 Ta 0.000 0.500 0.000
3 Ta 0.500 0.000 0.000
4 Mn 0.500 0.500 0.500
5 H 0.000 0.000 0.000

=====

Record 2
VASP calculation (PBE-GGA) on a relaxed structure of BaCuSn2Se4.

**E**: -4.2538 eV per atom
**E_form (uncorrected)**: -0.7584 eV/atom

Cell: 7.249 7.249 14.673 Å, 90.00 90.00 145.46°
Fractional positions:
1 Ba 0.108 0.892 0.750
2 Ba 0.892 0.108 0.250
3 Cu 0.158 0.842 0.250
4 Cu 0.842 0.158 0.750
5 Sn 0.367 0.633 0.556
6 Sn 0.367 0.633 0.944
7 Sn 0.633 0.367 0.056
8 Sn 0.633 0.367 0.444
9 Se 0.000 0.000 0.000
10 Se 0.000 0.000 0.500
11 Se 0.270 0.730 0.117
12 Se 0.270 0.730 0.383
13 Se 0.426 0.574 0.750
14 Se 0.574 0.426 0.250
15 Se 0.730 0.270 0.617
16 Se 0.730 0.270 0.883

=====

Record 3
VASP calculation (PBE-GGA) on a relaxed structure of LaAgIr2.

**E**: -6.2669 eV per atom
**E_form**: 0.11 eV per atom

Cell: 4.786 4.786 4.786 Å, 60.00 60.00 60.00°
Fractional positions:
1 La 0.000 0.000 0.000
2 Ag 0.500 0.500 0.500
3 Ir 0.250 0.250 0.250
4 Ir 0.750 0.750 0.750

=====

Record 4
VASP calculation (PBE-GGA) on a relaxed structure of PmPr5Y2Sc.

**E**: -5.2017 eV per atom
**E_form**: 0.12 eV per atom

Cell: 11.390 11.390 10.348 Å, 90.00 90.00 152.38°
Fractional positions:
1 Pm 0.101 0.899 0.750
2 Pm 0.899 0.101 0.250
3 Pr 0.000 0.000 0.000
4 Pr 0.000 0.000 0.500
5 Pr 0.126 0.874 0.250
6 Pr 0.222 0.778 0.563
7 Pr 0.222 0.778 0.937
8 Pr 0.498 0.502 0.750
9 Pr 0.502 0.498 0.250
10 Pr 0.778 0.222 0.063
11 Pr 0.778 0.222 0.437
12 Pr 0.874 0.126 0.750
13 Y 0.384 0.616 0.002
14 Y 0.384 0.616 0.498
15 Y 0.616 0.384 0.502
16 Y 0.616 0.384 0.998
17 Sc 0.285 0.715 0.250
18 Sc 0.715 0.285 0.750

=====

Record 5
VASP calculation (PBE-GGA) on a relaxed structure of SbMo2Br.

**E**: -5.9574 eV per atom
**E_form (uncorrected)**: 0.9070 eV/atom

Cell: 5.489 5.489 5.489 Å, 147.64 117.92 71.76°
Fractional positions:
1 Sb 0.000 0.000 0.000
2 Mo 0.258 0.758 0.500
3 Mo 0.742 0.242 0.500
4 Br 0.500 0.500 0.000

=====

Record 6
VASP calculation (PBE-GGA) on a relaxed structure of TePt2Se.

**E**: -4.4670 eV per atom
**E_form (uncorrected)**: 0.2099 eV/atom

Cell: 5.817 5.817 5.817 Å, 149.90 128.30 60.99°
Fractional positions:
1 Te 0.000 0.000 0.000
2 Pt 0.237 0.737 0.500
3 Pt 0.480 0.480 0.000
4 Se 0.704 0.204 0.500

=====

Record 7
VASP calculation (PBE-GGA) on a relaxed structure of CuNi2Ag2.

**E**: -3.9232 eV per atom
**E_form**: 0.35 eV per atom

Cell: 6.047 6.047 4.017 Å, 90.00 90.00 90.00°
Fractional positions:
1 Cu 0.000 0.000 0.000
2 Cu 0.500 0.500 0.000
3 Ni 0.132 0.368 0.000
4 Ni 0.368 0.868 0.000
5 Ni 0.632 0.132 0.000
6 Ni 0.868 0.632 0.000
7 Ag 0.172 0.672 0.500
8 Ag 0.328 0.172 0.500
9 Ag 0.672 0.828 0.500
10 Ag 0.828 0.328 0.500

=====

Record 8
VASP calculation (PBE-GGA) on a relaxed structure of Li2YNi.

**E**: -3.8742 eV per atom
**E_form**: 0.14 eV per atom

Cell: 3.568 3.568 5.570 Å, 90.00 90.00 90.00°
Fractional positions:
1 Li 0.000 0.000 0.192
2 Li 0.000 0.000 0.808
3 Y 0.500 0.500 0.500
4 Ni 0.500 0.500 0.000

=====

Record 9
VASP calculation (PBE-GGA) on a relaxed structure of CsRb2ZrBr6.

**E**: -3.6390 eV per atom
**E_form (uncorrected)**: -1.5015 eV/atom

Cell: 8.613 8.613 8.613 Å, 60.00 60.00 60.00°
Fractional positions:
1 Cs 0.000 0.000 0.000
2 Rb 0.250 0.250 0.250
3 Rb 0.750 0.750 0.750
4 Zr 0.500 0.500 0.500
5 Br 0.278 0.278 0.722
6 Br 0.278 0.722 0.278
7 Br 0.278 0.722 0.722
8 Br 0.722 0.278 0.278
9 Br 0.722 0.278 0.722
10 Br 0.722 0.722 0.278

=====

Record 10
VASP calculation (PBE-GGA) on a relaxed structure of KGdPb2.

**E**: -5.8478 eV per atom
**E_form**: -0.20 eV per atom

Cell: 11.334 11.334 11.334 Å, 18.87 18.87 18.87°
Fractional positions:
1 K 0.000 0.000 0.000
2 Gd 0.500 0.500 0.500
3 Pb 0.245 0.245 0.245
4 Pb 0.755 0.755 0.755

=====

Record 11
VASP calculation (PBE-GGA) on a relaxed structure of UCo2As.

**E**: -7.6336 eV per atom
**E_form**: -0.10 eV per atom

Cell: 4.606 4.606 3.280 Å, 90.00 90.00 111.98°
Fractional positions:
1 U 0.000 0.000 0.000
2 Co 0.000 0.500 0.500
3 Co 0.500 0.000 0.500
4 As 0.500 0.500 0.500

=====

Record 12
VASP calculation (PBE-GGA) on a relaxed structure of KPbW3.

**E**: -5.0936 eV per atom
**E_form**: 3.64 eV per atom

Cell: 4.681 4.681 4.681 Å, 90.00 90.00 90.00°
Fractional positions:
1 K 0.000 0.000 0.000
2 Pb 0.500 0.500 0.500
3 W 0.000 0.000 0.500
4 W 0.000 0.500 0.000
5 W 0.500 0.000 0.000

=====

Record 13
VASP calculation (PBE-GGA) on a relaxed structure of Rb3CdTe.

**E**: -1.8107 eV per atom
**E_form (uncorrected)**: -0.4188 eV/atom

Cell: 7.035 7.035 7.035 Å, 90.00 90.00 90.00°
Fractional positions:
1 Rb 0.000 0.000 0.500
2 Rb 0.000 0.500 0.000
3 Rb 0.500 0.000 0.000
4 Cd 0.500 0.500 0.500
5 Te 0.000 0.000 0.000

=====

Record 14
VASP calculation (PBE-GGA) on a relaxed structure of NaLiSbCl6.

**E**: -3.2395 eV per atom
**E_form (uncorrected)**: -1.1911 eV/atom

Cell: 6.592 6.592 12.634 Å, 90.00 90.00 120.00°
Fractional positions:
1 Na 0.000 0.000 0.000
2 Na 0.000 0.000 0.500
3 Li 0.333 0.667 0.250
4 Li 0.667 0.333 0.750
5 Sb 0.333 0.667 0.750
6 Sb 0.667 0.333 0.250
7 Cl 0.005 0.362 0.635
8 Cl 0.005 0.643 0.865
9 Cl 0.357 0.362 0.865
10 Cl 0.357 0.995 0.635
11 Cl 0.362 0.005 0.135
12 Cl 0.362 0.357 0.365
13 Cl 0.638 0.643 0.635
14 Cl 0.638 0.995 0.865
15 Cl 0.643 0.005 0.365
16 Cl 0.643 0.638 0.135
17 Cl 0.995 0.357 0.135
18 Cl 0.995 0.638 0.365

=====

Record 15
VASP calculation (PBE-GGA) on a relaxed structure of Zn7Ga2Ag3.

**E**: -1.9134 eV per atom
**E_form**: 0.05 eV per atom

Cell: 4.562 2.855 15.527 Å, 90.00 96.46 90.00°
Fractional positions:
1 Zn 0.000 0.000 0.000
2 Zn 0.094 0.500 0.846
3 Zn 0.270 0.500 0.541
4 Zn 0.387 0.000 0.153
5 Zn 0.613 0.000 0.847
6 Zn 0.730 0.500 0.459
7 Zn 0.906 0.500 0.154
8 Ga 0.393 0.500 0.706
9 Ga 0.607 0.500 0.294
10 Ag 0.170 0.000 0.379
11 Ag 0.500 0.500 0.000
12 Ag 0.830 0.000 0.621

=====

Record 16
VASP calculation (PBE-GGA) on a relaxed structure of TlNiTe2.

**E**: -3.5559 eV per atom
**E_form (uncorrected)**: 0.0518 eV/atom

Cell: 3.496 3.496 9.355 Å, 90.00 90.00 112.69°
Fractional positions:
1 Tl 0.000 0.000 0.000
2 Ni 0.000 0.000 0.500
3 Te 0.500 0.500 0.321
4 Te 0.500 0.500 0.679

=====

Record 17
VASP calculation (PBE-GGA) on a relaxed structure of Pr2ScZnTe5.

**E**: -4.8078 eV per atom
**E_form (uncorrected)**: -1.1552 eV/atom

Cell: 9.826 9.826 13.075 Å, 90.00 90.00 154.87°
Fractional positions:
1 Pr 0.115 0.885 0.500
2 Pr 0.131 0.869 0.121
3 Pr 0.869 0.131 0.621
4 Pr 0.885 0.115 0.000
5 Sc 0.198 0.802 0.829
6 Sc 0.802 0.198 0.329
7 Zn 0.433 0.567 0.273
8 Zn 0.567 0.433 0.773
9 Te 0.049 0.951 0.887
10 Te 0.285 0.715 0.482
11 Te 0.308 0.692 0.167
12 Te 0.353 0.647 0.815
13 Te 0.500 0.500 0.101
14 Te 0.500 0.500 0.601
15 Te 0.647 0.353 0.315
16 Te 0.692 0.308 0.667
17 Te 0.715 0.285 0.982
18 Te 0.951 0.049 0.387

=====

Record 18
VASP calculation (PBE-GGA) on a relaxed structure of FeWBr.

**E**: -6.3295 eV per atom
**E_form (uncorrected)**: 1.3668 eV/atom

Cell: 4.172 4.172 4.172 Å, 60.00 60.00 60.00°
Fractional positions:
1 Fe 0.000 0.000 0.000
2 W 0.250 0.250 0.250
3 Br 0.750 0.750 0.750

=====

Record 19
VASP calculation (PBE-GGA) on a relaxed structure of NbAl2Ni2.

**E**: -6.2550 eV per atom
**E_form**: -0.43 eV per atom

Cell: 7.105 7.105 2.707 Å, 90.00 90.00 90.00°
Fractional positions:
1 Nb 0.000 0.000 0.000
2 Nb 0.500 0.500 0.000
3 Al 0.164 0.336 0.500
4 Al 0.336 0.836 0.500
5 Al 0.664 0.164 0.500
6 Al 0.836 0.664 0.500
7 Ni 0.130 0.630 0.000
8 Ni 0.370 0.130 0.000
9 Ni 0.630 0.870 0.000
10 Ni 0.870 0.370 0.000

=====

Record 20
VASP calculation (PBE-GGA) on a relaxed structure of CaYScNb2.

**E**: -5.9159 eV per atom
**E_form**: 1.07 eV per atom

Cell: 4.922 4.922 5.540 Å, 90.00 90.00 90.00°
Fractional positions:
1 Ca 0.000 0.000 0.000
2 Y 0.500 0.500 0.000
3 Sc 0.000 0.000 0.500
4 Nb 0.000 0.500 0.500
5 Nb 0.500 0.000 0.500